{"formula": "GaCoNO", "functional": "GGA+U", "state": "relaxed", "cell": [[3.232, 0.000, 0.000], [0.000, 5.620, 0.000], [0.000, 0.000, 5.167]], "species": ["Ga", "Ga", "Co", "Co", "N", "N", "O", "O"], "frac_coords": [[0.000, 0.173, 0.000], [0.000, 0.827, 0.500], [0.500, 0.343, 0.508], [0.500, 0.657, 0.008], [0.500, 0.319, 0.895], [0.500, 0.681, 0.395], [0.000, 0.152, 0.377], [0.000, 0.848, 0.877]], "e_above_lowest_polymorph_kj_per_mol_fu": 0}